# 1
Here is TlCuB2Cl8 after structural relaxation from Alexandria. Energies are from PBE.

a = 5.9858 Å, b = 5.9858 Å, c = 9.7352 Å
α = 72.10°, β = 72.10°, γ = 60.00°
Closest atoms and distances in Å follow each position.
Fractional positions:
Cl  0.2677  0.9844  0.1706  1 B 1.87
Cu  0.0000  0.0000  0.0000  6 Cl 2.59
Cl  0.0156  0.4226  0.8294  1 B 1.87
Cl  0.5774  0.2677  0.1706  1 B 1.87
B  0.2552  0.2552  0.2344  4 Cl 1.87
Cl  0.4226  0.7323  0.8294  1 B 1.87
B  0.7448  0.7448  0.7656  4 Cl 1.87
Cl  0.9844  0.5774  0.1706  1 B 1.87
Tl  0.5000  0.5000  0.5000  12 Cl 3.50-3.69
Cl  0.8132  0.8132  0.5604  1 B 1.87
Cl  0.1868  0.1868  0.4396  1 B 1.87
Cl  0.7323  0.0156  0.8294  1 B 1.87

The value obtained for the magnetization is 0.114 μB per formula unit. The calculated volume comes out at 282.4 Å³ per cell. The formation energy from raw total energies comes out at -818 meV/atom.

# 2
Here is Dy3BCl3 after structural relaxation from Alexandria. Energies are from PBE.

a = 9.4563 Å, b = 9.4563 Å, c = 9.4563 Å
α = 109.47°, β = 109.47°, γ = 109.47°
Closest atoms and distances in Å follow each position.
Fractional positions:
Cl  0.7500  0.9951  0.5049  4 Dy 2.80-2.91
Dy  0.9843  0.2343  0.4687  2 B 2.56, 2 Cl 2.80
B  0.5000  0.2500  0.5000  6 Dy 2.56
Dy  0.7343  0.2657  0.7500  2 B 2.56, 2 Cl 2.80
Cl  0.0049  0.2500  0.9951  4 Dy 2.80-2.91
Dy  0.7657  0.7500  0.2343  2 B 2.56, 2 Cl 2.80
Dy  0.5157  0.0313  0.2657  2 B 2.56, 2 Cl 2.80
Cl  0.4902  0.7451  0.9951  4 Dy 2.80-2.91
Dy  0.2500  0.2343  0.2657  2 B 2.56, 2 Cl 2.80
B  0.7500  0.5000  0.0000  6 Dy 2.56
Cl  0.4951  0.9902  0.7451  4 Dy 2.80-2.91
Cl  0.7500  0.7549  0.7451  4 Dy 2.80-2.91
B  0.0000  0.0000  0.2500  6 Dy 2.56
Dy  0.5157  0.4843  0.7500  2 B 2.56, 2 Cl 2.80
Dy  0.9687  0.4843  0.2343  2 B 2.56, 2 Cl 2.80
Cl  0.0098  0.5049  0.7549  4 Dy 2.80-2.91
Dy  0.9843  0.7500  0.0157  2 B 2.56, 2 Cl 2.80
Cl  0.0049  0.7549  0.5098  4 Dy 2.80-2.91
Cl  0.2451  0.2500  0.7549  4 Dy 2.80-2.91
B  0.7500  0.2500  0.2500  6 Dy 2.56
Cl  0.2451  0.9951  0.9902  4 Dy 2.80-2.91
Dy  0.7343  0.4687  0.4843  2 B 2.56, 2 Cl 2.80
Dy  0.2500  0.0157  0.4843  2 B 2.56, 2 Cl 2.80
Dy  0.5313  0.2657  0.0157  2 B 2.56, 2 Cl 2.80
Dy  0.7657  0.0157  0.0313  2 B 2.56, 2 Cl 2.80
Cl  0.2549  0.5098  0.5049  4 Dy 2.80-2.91
Cl  0.4951  0.5049  0.2500  4 Dy 2.80-2.91
Cl  0.2549  0.7451  0.2500  4 Dy 2.80-2.91

The value obtained for the magnetization is 0.000 μB per formula unit. The calculated volume comes out at 650.9 Å³ per cell. The formation energy from raw total energies comes out at -1508 meV/atom.

# 3
Here is Dy7BCl12 after structural relaxation from Alexandria. Energies are from PBE.

a = 8.6382 Å, b = 8.6382 Å, c = 8.6382 Å
α = 107.59°, β = 107.59°, γ = 107.59°
Closest atoms and distances in Å follow each position.
Fractional positions:
Cl  0.8400  0.6132  0.5302  3 Dy 2.70-2.78
Cl  0.1600  0.3868  0.4698  3 Dy 2.70-2.78
Dy  0.5000  0.5000  0.5000  6 Cl 2.70
Cl  0.5302  0.8400  0.6132  3 Dy 2.70-2.78
Cl  0.2232  0.0773  0.6877  3 Dy 2.72-2.90
Cl  0.9227  0.3123  0.7768  3 Dy 2.72-2.90
Dy  0.9679  0.6821  0.8905  1 B 2.51, 4 Cl 2.72-2.78
Dy  0.1095  0.0321  0.3179  1 B 2.51, 4 Cl 2.72-2.78
Cl  0.6877  0.2232  0.0773  3 Dy 2.72-2.90
Dy  0.6821  0.8905  0.9679  1 B 2.51, 4 Cl 2.72-2.78
Cl  0.0773  0.6877  0.2232  3 Dy 2.72-2.90
Cl  0.3868  0.4698  0.1600  3 Dy 2.70-2.78
Cl  0.3123  0.7768  0.9227  3 Dy 2.72-2.90
Cl  0.6132  0.5302  0.8400  3 Dy 2.70-2.78
Dy  0.0321  0.3179  0.1095  1 B 2.51, 4 Cl 2.72-2.78
Cl  0.4698  0.1600  0.3868  3 Dy 2.70-2.78
Dy  0.3179  0.1095  0.0321  1 B 2.51, 4 Cl 2.72-2.78
B  0.0000  0.0000  0.0000  6 Dy 2.51
Cl  0.7768  0.9227  0.3123  3 Dy 2.72-2.90
Dy  0.8905  0.9679  0.6821  1 B 2.51, 4 Cl 2.72-2.78

The value obtained for the magnetization is 0.000 μB per formula unit. The calculated volume comes out at 527.9 Å³ per cell. The formation energy from raw total energies comes out at -1897 meV/atom.

# 4
Here is Dy4B2Cl5 after structural relaxation from Alexandria. Energies are from PBE.

a = 3.7973 Å, b = 7.5935 Å, c = 10.3956 Å
α = 111.42°, β = 100.52°, γ = 90.00°
Closest atoms and distances in Å follow each position.
Fractional positions:
Cl  0.1679  0.9225  0.3358  2 Dy 2.71
Dy  0.0000  0.7112  0.0000  4 B 2.61, 2 Cl 2.90
Dy  0.3380  0.3380  0.6760  1 B 2.29
Dy  0.0000  0.2888  0.0000  4 B 2.61, 2 Cl 2.90
Cl  0.8321  0.5867  0.6642  2 Dy 2.71
B  0.5415  0.5415  0.0829  1 B 1.57
Cl  0.5000  0.0000  0.0000  4 Dy 2.90
B  0.4585  0.4585  0.9171  1 B 1.57
Cl  0.8321  0.0775  0.6642  2 Dy 2.71
Cl  0.1679  0.4133  0.3358  2 Dy 2.71
Dy  0.6620  0.6620  0.3240  1 B 2.29

The value obtained for the magnetization is 0.000 μB per formula unit. The calculated volume comes out at 273.6 Å³ per cell. The formation energy from raw total energies comes out at -1460 meV/atom.

# 5
Here is DyB2Cl8 after structural relaxation from Alexandria. Energies are from PBE.

a = 5.9170 Å, b = 7.7768 Å, c = 7.7768 Å
α = 77.34°, β = 82.37°, γ = 82.37°
Closest atoms and distances in Å follow each position.
Fractional positions:
Cl  0.7440  0.0328  0.7246  1 B 1.90
B  0.6558  0.8000  0.8000  4 Cl 1.79-1.93
Cl  0.7826  0.6552  0.6552  1 B 1.79
Cl  0.7440  0.7246  0.0328  1 B 1.90
Dy  0.0000  0.0000  0.0000  6 Cl 2.73-2.74
Cl  0.3259  0.8101  0.8101  1 B 1.93
Cl  0.2560  0.2754  0.9672  1 B 1.90
Cl  0.6741  0.1899  0.1899  1 B 1.93
B  0.3442  0.2000  0.2000  4 Cl 1.79-1.93
Cl  0.2560  0.9672  0.2754  1 B 1.90
Cl  0.2174  0.3448  0.3448  1 B 1.79

The value obtained for the magnetization is 0.975 μB per formula unit. The calculated volume comes out at 344.1 Å³ per cell. The formation energy from raw total energies comes out at -1123 meV/atom.

# 6
Here is DyBCl after structural relaxation from Alexandria. Energies are from PBE.

a = 3.4829 Å, b = 3.4829 Å, c = 11.2392 Å
α = 88.97°, β = 88.97°, γ = 60.00°
Closest atoms and distances in Å follow each position.
Fractional positions:
Dy  0.0063  0.0063  0.3382  6 B 2.67-2.76, 3 Cl 2.72
B  0.3336  0.3336  0.4942  3 B 2.02
Cl  0.6792  0.6792  0.1754  3 Dy 2.72
Cl  0.3208  0.3208  0.8246  3 Dy 2.72
Dy  0.9937  0.9937  0.6618  6 B 2.67-2.76, 3 Cl 2.72
B  0.6664  0.6664  0.5058  3 B 2.02

The value obtained for the magnetization is 0.000 μB per formula unit. The calculated volume comes out at 118.0 Å³ per cell. The formation energy from raw total energies comes out at -1281 meV/atom.

# 7
Here is Dy4BClO7 after structural relaxation from Alexandria. Energies are from PBE.

a = 8.0583 Å, b = 8.6544 Å, c = 11.0042 Å
α = 76.39°, β = 90.00°, γ = 90.00°
Closest atoms and distances in Å follow each position.
Fractional positions:
O  0.6230  0.0546  0.4027  4 Dy 2.23-2.32
Cl  0.8513  0.8489  0.0278  2 Dy 2.86-2.97, 3 O 3.16-3.18
Cl  0.3513  0.6511  0.4722  2 Dy 2.86-2.97, 3 O 3.16-3.18
O  0.9945  0.2724  0.6639  1 B 1.38
Dy  0.6171  0.6655  0.9083  6 O 2.27-2.39
Dy  0.3748  0.0184  0.7788  6 O 2.23-2.36
O  0.6125  0.1851  0.0422  1 B 1.39
O  0.7125  0.7473  0.3631  1 B 1.38
O  0.7875  0.2473  0.8631  1 B 1.38
Dy  0.6384  0.8496  0.5816  5 O 2.26-2.32
O  0.3827  0.3981  0.2817  4 Dy 2.23-2.32
Dy  0.1155  0.9608  0.2219  5 O 2.21-2.35
O  0.6173  0.6019  0.7183  4 Dy 2.23-2.32
Dy  0.8616  0.3496  0.0816  5 O 2.26-2.32
O  0.2875  0.2527  0.6369  1 B 1.38
Dy  0.8829  0.1655  0.4083  6 O 2.27-2.39
O  0.8875  0.6851  0.5422  1 B 1.39
Dy  0.3845  0.4608  0.7219  5 O 2.21-2.35
O  0.3770  0.9454  0.5973  4 Dy 2.23-2.32
O  0.6362  0.9152  0.7730  4 Dy 2.28-2.32
O  0.8770  0.5546  0.9027  4 Dy 2.23-2.32
O  0.4945  0.2276  0.8361  1 B 1.38
O  0.0055  0.7276  0.3361  1 B 1.38
O  0.1173  0.8981  0.7817  4 Dy 2.23-2.32
Dy  0.1171  0.8345  0.5917  6 O 2.27-2.39
O  0.3782  0.5188  0.9071  4 Dy 2.21-2.31
O  0.1218  0.0188  0.4071  4 Dy 2.21-2.31
Cl  0.1487  0.1511  0.9722  2 Dy 2.86-2.97, 3 O 3.16-3.18
O  0.6218  0.4812  0.0929  4 Dy 2.21-2.31
Dy  0.6252  0.9816  0.2212  6 O 2.23-2.36
Dy  0.6155  0.5392  0.2781  5 O 2.21-2.35
O  0.1362  0.5848  0.7270  4 Dy 2.28-2.32
Dy  0.8748  0.4816  0.7212  6 O 2.23-2.36
O  0.3875  0.8149  0.9578  1 B 1.39
O  0.8827  0.1019  0.2183  4 Dy 2.23-2.32
Cl  0.6487  0.3489  0.5278  2 Dy 2.86-2.97, 3 O 3.16-3.18
O  0.1125  0.3149  0.4578  1 B 1.39
B  0.1305  0.2829  0.5867  3 O 1.38-1.39
B  0.3695  0.7829  0.0867  3 O 1.38-1.39
O  0.2125  0.7527  0.1369  1 B 1.38
B  0.8695  0.7171  0.4133  3 O 1.38-1.39
O  0.8782  0.9812  0.5929  4 Dy 2.21-2.31
O  0.3638  0.0848  0.2270  4 Dy 2.28-2.32
B  0.6305  0.2171  0.9133  3 O 1.38-1.39
Dy  0.8845  0.0392  0.7781  5 O 2.21-2.35
O  0.5055  0.7724  0.1639  1 B 1.38
Dy  0.1252  0.5184  0.2788  6 O 2.23-2.36
Dy  0.1384  0.6504  0.9184  5 O 2.26-2.32
O  0.1230  0.4454  0.0973  4 Dy 2.23-2.32
Dy  0.3829  0.3345  0.0917  6 O 2.27-2.39
O  0.8638  0.4152  0.2730  4 Dy 2.28-2.32
Dy  0.3616  0.1504  0.4184  5 O 2.26-2.32

The value obtained for the magnetization is 0.000 μB per formula unit. The calculated volume comes out at 745.9 Å³ per cell. The formation energy from raw total energies comes out at -3312 meV/atom.

no.,DOS at the Fermi energy (states/eV per atom),uncorrected energy (eV per atom)
1,0.000,-3.700
2,0.319,-5.225
3,0.544,-4.950
4,0.300,-5.187
5,0.061,-4.098
6,0.411,-5.656
7,0.000,-8.053